Below is TbErLuCd after structural relaxation, with properties calculated at the PBE level.

Lattice parameters (Å, degrees): 5.398 5.398 5.398 60.00 60.00 60.00
Fractional positions:
1 Tb 0.000 0.000 0.000
2 Er 0.500 0.500 0.500
3 Lu 0.250 0.250 0.250
4 Cd 0.750 0.750 0.750

Symmetry: No. 216
Spin magnetization in μB per formula unit: 0.00
Calculated formation energy in eV per atom: -0.033
Volume in Å³ per cell: 111.2